No. 1
Density functional theory data (GGA-PBE) for an optimized crystal structure of Cr8Fe3CuS16.

Properties
DOS at the Fermi energy ... 28.7 states/eV per cell
Raw total energy ... -188.64 eV per formula unit
Energy relative to the elements, uncorrected ... -0.576 eV/atom

Structure (extended XYZ):
```
28
Lattice="-1.6968 2.2763 -6.4384 8.6520 -3.4666 -3.5059 -3.0427 -6.1913 -1.3871" Properties=species:S:1:pos:R:3 pbc="T T T"
S -2.0127 0.0277 -5.2275
S 5.9214 -7.4111 -6.1034
S 1.3608 0.2789 -4.2299
S 7.3441 -4.5162 -5.4549
S -3.4327 -2.8616 -5.8749
S -1.0982 -1.6953 -7.8723
S 5.5952 -1.4690 -5.7171
S 5.0120 -5.6879 -3.4547
S 4.2178 -4.6224 -6.4682
S 0.6513 -4.7398 -7.6153
S 3.2617 -2.6428 -3.7166
S 0.5674 1.3433 -7.2403
S -0.3063 -2.7576 -4.8676
S 2.2699 -1.4464 -6.8774
S 1.6438 -5.9349 -4.4542
S 6.3898 -2.5349 -2.7023
Cr -2.3574 -1.9699 -3.8846
Cr -1.4103 -3.8298 -6.7502
Cr 3.8032 -6.6849 -5.2884
Cr 4.3041 -1.7240 -1.7463
Cr 3.4567 -0.5873 -4.9614
Cr 5.3265 -3.5853 -4.5940
Cr 0.1393 -0.6766 -6.0437
Cr -1.5247 -3.0869 -0.7253
Fe 6.3068 -1.3296 -7.9000
Fe 2.6135 -3.5550 -7.7135
Fe 1.2901 -3.8230 -3.6142
Cu 0.6573 0.1358 -2.0478
```

No. 2
Density functional theory data (GGA-PBE) for an optimized crystal structure of YTa3Pb.

Properties
Energy of formation ... 2.23 eV/atom
DOS at the Fermi energy ... 5.3 states/eV per cell
Raw total energy ... -34.60 eV per formula unit

Structure (extended XYZ):
```
5
Lattice="-3.4045 3.5453 0.9600 -2.8258 -1.6919 -3.7727 -2.3464 -3.1064 3.1506" Properties=species:S:1:pos:R:3 pbc="T T T"
Y 0.0000 0.0000 0.0000
Ta -1.7022 1.7726 0.4800
Ta -1.1732 -1.5532 1.5753
Ta -1.4129 -0.8460 -1.8864
Pb -4.2883 -0.6265 0.1689
```

No. 3
Density functional theory data (GGA-PBE) for an optimized crystal structure of PrDy3Tm7.

Properties
Energy of formation ... 0.20 eV/atom
DOS at the Fermi energy ... 17.0 states/eV per cell
Raw total energy ... -47.69 eV per formula unit

Structure (extended XYZ):
```
11
Lattice="8.5515 0.0000 0.0000 0.0000 6.9864 0.0000 0.0000 -3.4932 6.0504" Properties=species:S:1:pos:R:3 pbc="T T T"
Tm 3.8185 1.7586 1.0153
Tm 1.0057 1.7402 5.0383
Tm 3.8185 5.2278 1.0153
Tm 3.8185 3.4932 4.0198
Tm 1.0057 -1.7402 5.0383
Tm 1.0161 3.4932 2.0168
Tm 1.0057 0.0000 2.0242
Dy 6.7161 3.4932 0.0087
Dy 6.7161 1.7541 3.0209
Dy 6.7161 5.2323 3.0209
Pr 3.8291 0.0000 4.0336
```